(1)
Density functional theory data (PBE) for crystalline Ac8Ni3CBr4 at its relaxed geometry.

The total energy comes out at -4.90 eV per atom. As for the total magnetic moment: 0.0 μB per cell. The formation energy (no corrections) is -0.768 eV/atom.

The space group is C2/m (No. 12) and the conventional cell measures 14.761, 8.515 and 9.535 Å, with angles of 90.00, 121.11 and 90.00 degrees. The asymmetric unit holds Ac at (0.017, 0.239, 0.311), Ac at (0.223, 0.000, 0.689), Ac at (0.231, 0.500, 0.693), Ni at (0.000, 0.500, 0.500), Ni at (0.250, 0.250, 0.500), C at (0.000, 0.000, 0.500), Br at (0.000, 0.000, 0.000), Br at (0.000, 0.500, 0.000) and Br at (0.250, 0.250, 0.000).

(2)
Density functional theory data (PBE) for crystalline Ac6Ni2CBr3 at its relaxed geometry.

The total energy comes out at -4.96 eV per atom. As for the total magnetic moment: 0.0 μB per cell. The formation energy (no corrections) is -0.760 eV/atom.

The space group is C2/m (No. 12) and the conventional cell measures 7.311, 12.708 and 8.451 Å, with angles of 90.00, 106.80 and 90.00 degrees. The asymmetric unit holds Ac at (0.222, 0.157, 0.191), Ac at (0.249, 0.000, 0.808), Ni at (0.000, 0.334, 0.000), C at (0.000, 0.000, 0.000), Br at (0.000, 0.170, 0.500) and Br at (0.000, 0.500, 0.500).

(3)
Density functional theory data (PBE) for crystalline Ac2C2BrO6 at its relaxed geometry.

The total energy comes out at -7.40 eV per atom. As for the total magnetic moment: 0.0 μB per cell. The formation energy (no corrections) is -2.124 eV/atom.

The space group is C2/m (No. 12) and the conventional cell measures 9.144, 8.934 and 4.452 Å, with angles of 90.00, 110.02 and 90.00 degrees. The asymmetric unit holds Ac at (0.000, 0.249, 0.000), C at (0.184, 0.000, 0.626), Br at (0.000, 0.500, 0.500), O at (0.105, 0.000, 0.321) and O at (0.220, 0.127, 0.775).

(4)
Density functional theory data (PBE) for crystalline Ac8Os3CBr3 at its relaxed geometry.

The total energy comes out at -5.91 eV per atom. As for the total magnetic moment: 1.2 μB per cell. The formation energy (no corrections) is -0.525 eV/atom.

The space group is C2/m (No. 12) and the conventional cell measures 14.915, 8.604 and 9.593 Å, with angles of 90.00, 121.29 and 90.00 degrees. The asymmetric unit holds Ac at (0.019, 0.241, 0.317), Ac at (0.222, 0.000, 0.683), Ac at (0.234, 0.500, 0.702), Os at (0.000, 0.500, 0.500), Os at (0.250, 0.250, 0.500), C at (0.000, 0.000, 0.500), Br at (0.000, 0.000, 0.000) and Br at (0.250, 0.250, 0.000).